DFT (PBE) results for crystalline UB4Ir at its relaxed geometry.

POSCAR file:
```
UB4Ir
1.0
3.514 0.000 0.000
0.000 6.023 0.000
0.000 0.000 11.681
Ir B U
4 16 4
Direct
0.000 0.360 0.907
0.000 0.640 0.093
0.000 0.860 0.593
0.000 0.140 0.407
0.500 0.383 0.047
0.500 0.971 0.307
0.500 0.869 0.032
0.500 0.631 0.532
0.500 0.883 0.453
0.500 0.529 0.807
0.500 0.117 0.547
0.500 0.369 0.468
0.500 0.790 0.190
0.500 0.471 0.193
0.500 0.210 0.810
0.500 0.131 0.968
0.500 0.710 0.690
0.500 0.290 0.310
0.500 0.029 0.693
0.500 0.617 0.953
0.000 0.628 0.350
0.000 0.128 0.150
0.000 0.872 0.850
0.000 0.372 0.650
```

Computed properties:
ΔH_f (0 K)	-467	meV/atom
crystal system	orthorhombic
final energy	-8.28	eV/atom
space group	Pbam, No. 55

DFT (PBE) results for crystalline AcPN3 at its relaxed geometry.

POSCAR file:
```
AcPN3
1.0
-2.396 3.736 -2.175
1.596 -1.611 -4.525
-4.770 -3.346 -0.491
N Ac P
6 2 2
Direct
0.663 0.000 0.000
0.840 0.500 0.276
0.160 0.000 0.224
0.337 0.500 0.500
0.160 0.000 0.776
0.840 0.500 0.724
0.430 0.500 0.000
0.570 0.000 0.500
0.018 0.500 0.500
0.982 0.000 0.000
```

Computed properties:
crystal system	orthorhombic
formation energy without anion corrections	-0.471	eV/atom
final energy	-7.37	eV/atom
space group	Pmmn, No. 59

DFT (PBE) results for crystalline YMg2Br at its relaxed geometry.

POSCAR file:
```
YMg2Br
1.0
6.396 0.028 0.001
2.808 5.746 -0.001
-3.812 -4.145 3.031
Mg Y Br
2 1 1
Direct
0.745 0.245 0.500
0.010 0.010 0.000
0.478 0.478 0.000
0.267 0.767 0.500
```

Computed properties:
polymorph energy (0 for the lowest one)	116	meV per atom
crystal system	orthorhombic
formation energy without anion corrections	-0.315	eV/atom
final energy	-3.15	eV/atom
space group	Imm2, No. 44

DFT (PBE) results for crystalline Er2Ga2Ge3 at its relaxed geometry.

POSCAR file:
```
Er2Ga2Ge3
1.0
7.326 0.000 0.000
-2.442 6.907 0.000
-2.442 -3.454 5.982
Er Ge Ga
4 6 4
Direct
0.519 0.019 0.019
0.981 0.500 0.000
0.500 0.481 0.500
0.000 0.000 0.481
0.750 0.511 0.261
0.011 0.261 0.250
0.761 0.250 0.511
0.489 0.239 0.750
0.250 0.989 0.239
0.739 0.750 0.989
0.372 0.500 0.000
0.000 0.000 0.872
0.500 0.872 0.500
0.128 0.628 0.628
```

Computed properties:
ΔH_f (0 K)	-394	meV/atom
crystal system	cubic
final energy	-4.54	eV/atom
space group	I2_13, No. 199

DFT (PBE) results for crystalline TiCr2CdN at its relaxed geometry.

POSCAR file:
```
TiCr2CdN
1.0
-1.547 -2.309 2.770
4.099 -1.799 0.790
0.695 2.767 2.694
N Cd Ti Cr
1 1 1 2
Direct
0.000 0.000 0.000
0.000 0.500 0.000
0.500 0.500 0.500
0.500 0.000 0.000
0.000 0.000 0.500
```

Computed properties:
crystal system	tetragonal
formation energy without anion corrections	0.254	eV/atom
final energy	-7.02	eV/atom
space group	P4/mmm, No. 123

DFT (PBE) results for crystalline Dy2ThRe at its relaxed geometry.

POSCAR file:
```
Dy2ThRe
1.0
-2.540 1.120 -1.712
-3.041 -0.563 1.036
-1.618 9.785 5.696
Th Re Dy
1 1 2
Direct
0.500 0.500 0.500
0.000 0.000 0.000
0.079 0.079 0.763
0.921 0.921 0.237
```

Computed properties:
ΔH_f (0 K)	795	meV/atom
crystal system	trigonal
final energy	-6.47	eV/atom
space group	R-3m, No. 166